LaRuBr2 | Alexandria via LeMat-Bulk | PBE | relaxed; total magnetization = 0.0 μB per cell; final energy = -5.010 eV per atom; symmetry = No. 44; uncorrected formation energy = -0.623 eV per atom
1.0
7.9564 0.1202 -0.0125
5.9502 5.2834 0.0125
-6.7776 -3.1540 2.7269
Ru Br La
1 2 1
Cartesian
3.5891 -0.3514 1.3572 Ru
13.5169 5.2522 0.0000 Br
2.8276 2.3242 1.3697 Br
8.0553 3.1300 0.0000 La